Computed, not measured: a relaxed LaIn2Si crystal at the PBE level of DFT.

As for the uncorrected formation energy: -129 meV/atom. The calculation puts the density at 6.50 g/cm³.

The structure belongs to space group Cmmm (No. 65); the cell edges are 5.226, 5.443 and 7.125 Å and the angles 90.00°, 90.00° and 90.00°. The inequivalent atoms are La at (0.000, 0.000, 0.000), In at (0.000, 0.500, 0.298) and Si at (0.000, 0.000, 0.500).

***

Computed, not measured: a relaxed LaInSi crystal at the PBE level of DFT.

As for the uncorrected formation energy: -272 meV/atom. The calculation puts the density at 5.69 g/cm³.

The structure belongs to space group F-43m (No. 216); the cell edges are 6.902, 6.902 and 6.902 Å and the angles 90.00°, 90.00° and 90.00°. The inequivalent atoms are La at (0.000, 0.000, 0.000), In at (0.000, 0.000, 0.500) and Si at (0.250, 0.250, 0.750).

***

Computed, not measured: a relaxed La2InSi2 crystal at the PBE level of DFT.

As for the uncorrected formation energy: -369 meV/atom. The calculation puts the density at 5.70 g/cm³.

The structure belongs to space group I4/mmm (No. 139); the cell edges are 3.668, 3.668 and 19.422 Å and the angles 90.00°, 90.00° and 90.00°. The inequivalent atoms are La at (0.000, 0.000, 0.119), In at (0.000, 0.000, 0.500) and Si at (0.000, 0.500, 0.250).

***

Computed, not measured: a relaxed LaIn2Si2 crystal at the PBE level of DFT.

As for the uncorrected formation energy: -120 meV/atom. The calculation puts the density at 5.94 g/cm³.

The structure belongs to space group P4/mbm (No. 127); the cell edges are 7.755, 7.755 and 3.947 Å and the angles 90.00°, 90.00° and 90.00°. The inequivalent atoms are La at (0.000, 0.000, 0.000), In at (0.166, 0.334, 0.500) and Si at (0.111, 0.611, 0.000).

***

- Which value of density does entry 3 give?
  5.70 g/cm³

***

Copy entry 3 word for word.
Computed, not measured: a relaxed La2InSi2 crystal at the PBE level of DFT.

As for the uncorrected formation energy: -369 meV/atom. The calculation puts the density at 5.70 g/cm³.

The structure belongs to space group I4/mmm (No. 139); the cell edges are 3.668, 3.668 and 19.422 Å and the angles 90.00°, 90.00° and 90.00°. The inequivalent atoms are La at (0.000, 0.000, 0.119), In at (0.000, 0.000, 0.500) and Si at (0.000, 0.500, 0.250).

***

- The highest density belongs to which entry?
  LaIn2Si